# 1
HPdCl4: optimized geometry, PBE.

abc: 5.660 16.613 6.589
angles: 90.00 94.21 90.00
Space group C2/c (No. 15)
Inequivalent atoms, fractional coordinates:
H 0.000 0.146 0.250 (multiplicity 4)
Pd 0.000 0.448 0.750 (multiplicity 4)
Cl 0.231 0.452 0.111 (multiplicity 8)
Cl 0.249 0.154 0.370 (multiplicity 8)

Values from the calculation:
As for the polymorph energy (0 for the lowest one): 0.104 eV per formula unit. Its crystal system is monoclinic.


# 2
PuUGe4: optimized geometry, PBE.

abc: 7.807 7.807 7.807
angles: 90.00 90.00 90.00
Space group F-43m (No. 216)
Inequivalent atoms, fractional coordinates:
Pu 0.000 0.000 0.000 (multiplicity 4)
U 0.250 0.250 0.250 (multiplicity 4)
Ge 0.125 0.125 0.625 (multiplicity 16)

Values from the calculation:
The electronic total energy comes out at -7.48 eV per atom. Its crystal system is cubic.


# 3
MnHN3: optimized geometry, PBE.

abc: 3.192 3.192 3.192
angles: 90.00 90.00 90.00
Space group Pm-3m (No. 221)
Inequivalent atoms, fractional coordinates:
Mn 0.000 0.000 0.000 (multiplicity 1)
H 0.500 0.500 0.500 (multiplicity 1)
N 0.000 0.500 0.500 (multiplicity 3)

Values from the calculation:
The electronic total energy comes out at -5.36 eV per atom. Its crystal system is cubic.


# 4
Be2Nb3Ge2: optimized geometry, PBE.

abc: 3.471 3.652 15.919
angles: 90.00 90.00 90.00
Space group Immm (No. 71)
Inequivalent atoms, fractional coordinates:
Be 0.000 0.000 0.062 (multiplicity 4)
Nb 0.000 0.000 0.500 (multiplicity 2)
Nb 0.000 0.500 0.309 (multiplicity 4)
Ge 0.000 0.500 0.138 (multiplicity 4)

Values from the calculation:
The electronic total energy comes out at -7.11 eV per atom. Its crystal system is orthorhombic.


# 5
Nd3Ho6Tm2Zr: optimized geometry, PBE.

abc: 6.115 10.578 11.654
angles: 90.00 100.03 90.00
Space group C2/m (No. 12)
Inequivalent atoms, fractional coordinates:
Nd 0.000 0.000 0.000 (multiplicity 2)
Nd 0.000 0.334 0.000 (multiplicity 4)
Ho 0.243 0.337 0.740 (multiplicity 8)
Ho 0.247 0.500 0.260 (multiplicity 4)
Tm 0.000 0.167 0.500 (multiplicity 4)
Zr 0.000 0.500 0.500 (multiplicity 2)

Values from the calculation:
The electronic total energy comes out at -4.89 eV per atom. Its crystal system is monoclinic.


# 6
TlCd4Sb2: optimized geometry, PBE.

abc: 5.3318 5.3318 24.4964
angles: 90.00 90.00 120.00
Space group R-3m (No. 166, hexagonal axes)
Inequivalent atoms, fractional coordinates:
Tl 0.0000 0.0000 0.0000 (multiplicity 3)
Cd 0.0000 0.0000 0.1307 (multiplicity 6)
Cd 0.0000 0.0000 0.4381 (multiplicity 6)
Sb 0.0000 0.0000 0.2500 (multiplicity 6)

Values from the calculation:
The calculation puts the uncorrected formation energy at 0.06 eV/atom. Its crystal system is trigonal.


# 7
ZnCu3Au6: optimized geometry, PBE.

abc: 7.517 4.621 9.945
angles: 90.00 112.20 90.00
Space group P2_1/m (No. 11)
Inequivalent atoms, fractional coordinates:
Zn 0.041 0.250 0.421 (multiplicity 2)
Cu 0.238 0.250 0.030 (multiplicity 2)
Cu 0.378 0.750 0.779 (multiplicity 2)
Cu 0.447 0.250 0.629 (multiplicity 2)
Au 0.078 0.750 0.870 (multiplicity 2)
Au 0.149 0.250 0.713 (multiplicity 2)
Au 0.157 0.750 0.170 (multiplicity 2)
Au 0.260 0.750 0.488 (multiplicity 2)
Au 0.343 0.250 0.330 (multiplicity 2)
Au 0.470 0.750 0.075 (multiplicity 2)

Values from the calculation:
As for the polymorph energy (0 for the lowest one): 0.000 eV per formula unit. Its crystal system is monoclinic.


# 8
Ac2Si3GeRh4: optimized geometry, PBE.

abc: 4.303 4.303 10.180
angles: 90.00 90.00 90.00
Space group P-4m2 (No. 115)
Inequivalent atoms, fractional coordinates:
Ac 0.000 0.500 0.245 (multiplicity 2)
Si 0.000 0.000 0.000 (multiplicity 1)
Si 0.000 0.500 0.623 (multiplicity 2)
Ge 0.500 0.500 0.000 (multiplicity 1)
Rh 0.000 0.000 0.500 (multiplicity 1)
Rh 0.000 0.500 0.871 (multiplicity 2)
Rh 0.500 0.500 0.500 (multiplicity 1)

Values from the calculation:
The calculation puts the uncorrected formation energy at -0.92 eV/atom. Its crystal system is tetragonal.


# 9
PmSi2NiRu: optimized geometry, PBE.

abc: 4.018 4.018 10.158
angles: 90.00 90.00 90.00
Space group I-4m2 (No. 119)
Inequivalent atoms, fractional coordinates:
Pm 0.000 0.000 0.000 (multiplicity 2)
Si 0.000 0.000 0.374 (multiplicity 4)
Ni 0.000 0.500 0.750 (multiplicity 2)
Ru 0.000 0.500 0.250 (multiplicity 2)

Values from the calculation:
The calculation puts the uncorrected formation energy at -0.84 eV/atom. Its crystal system is tetragonal.


# 10
AlGaSn2B: optimized geometry, PBE.

abc: 5.307 5.307 4.782
angles: 90.00 90.00 90.00
Space group P4/mmm (No. 123)
Inequivalent atoms, fractional coordinates:
Al 0.000 0.000 0.000 (multiplicity 1)
Ga 0.000 0.000 0.500 (multiplicity 1)
Sn 0.000 0.500 0.500 (multiplicity 2)
B 0.500 0.500 0.000 (multiplicity 1)

Values from the calculation:
The electronic total energy comes out at -2.94 eV per atom. Its crystal system is tetragonal.


# 11
Cu2Mo: optimized geometry, PBE.

abc: 10.224 2.551 6.471
angles: 90.00 104.97 90.00
Space group Cm (No. 8)
Inequivalent atoms, fractional coordinates:
Cu 0.000 0.000 0.000 (multiplicity 2)
Cu 0.054 0.000 0.622 (multiplicity 2)
Cu 0.163 0.500 0.349 (multiplicity 2)
Cu 0.335 0.000 0.671 (multiplicity 2)
Mo 0.224 0.500 0.952 (multiplicity 2)
Mo 0.389 0.000 0.288 (multiplicity 2)

Values from the calculation:
The electronic total energy comes out at -6.07 eV per atom. Its crystal system is monoclinic.


# 12
KP3W: optimized geometry, PBE.

abc: 4.759 4.759 4.759
angles: 90.00 90.00 90.00
Space group Pm-3m (No. 221)
Inequivalent atoms, fractional coordinates:
K 0.000 0.000 0.000 (multiplicity 1)
P 0.000 0.000 0.500 (multiplicity 3)
W 0.500 0.500 0.500 (multiplicity 1)

Values from the calculation:
As for the polymorph energy (0 for the lowest one): 13.947 eV per formula unit. Its crystal system is cubic.


# 13
TlAg3O2: optimized geometry, PBE.

abc: 16.850 3.413 7.225
angles: 90.00 90.91 90.00
Space group C2/m (No. 12)
Inequivalent atoms, fractional coordinates:
Tl 0.137 0.000 0.452 (multiplicity 4)
Ag 0.067 0.500 0.749 (multiplicity 4)
Ag 0.077 0.000 0.065 (multiplicity 4)
Ag 0.205 0.000 0.819 (multiplicity 4)
O 0.062 0.500 0.313 (multiplicity 4)
O 0.206 0.000 0.184 (multiplicity 4)

Values from the calculation:
The calculation puts the uncorrected formation energy at -0.11 eV/atom. Its crystal system is monoclinic.


# 14
Cr2CoNi9: optimized geometry, PBE.

abc: 3.538 3.538 10.653
angles: 90.00 90.00 90.00
Space group P4/mmm (No. 123)
Inequivalent atoms, fractional coordinates:
Cr 0.000 0.000 0.167 (multiplicity 2)
Co 0.000 0.000 0.500 (multiplicity 1)
Ni 0.000 0.500 0.000 (multiplicity 2)
Ni 0.000 0.500 0.336 (multiplicity 4)
Ni 0.500 0.500 0.167 (multiplicity 2)
Ni 0.500 0.500 0.500 (multiplicity 1)

Values from the calculation:
The electronic total energy comes out at -6.52 eV per atom. Its crystal system is tetragonal.


# 15
MgTlPPb2: optimized geometry, PBE.

abc: 5.683 5.683 4.773
angles: 90.00 90.00 90.00
Space group P4/mmm (No. 123)
Inequivalent atoms, fractional coordinates:
Mg 0.000 0.000 0.000 (multiplicity 1)
Tl 0.500 0.500 0.500 (multiplicity 1)
P 0.000 0.000 0.500 (multiplicity 1)
Pb 0.000 0.500 0.000 (multiplicity 2)

Values from the calculation:
The electronic total energy comes out at -2.99 eV per atom. Its crystal system is tetragonal.


# 16
Rb3Y3SnS8: optimized geometry, PBE.

abc: 8.0009 8.0009 23.5783
angles: 90.00 90.00 120.00
Space group R-3m (No. 166, hexagonal axes)
Inequivalent atoms, fractional coordinates:
Rb 0.0000 0.5000 0.0000 (multiplicity 9)
Y 0.0000 0.5000 0.5000 (multiplicity 9)
Sn 0.0000 0.0000 0.5000 (multiplicity 3)
S 0.0000 0.0000 0.2300 (multiplicity 6)
S 0.0156 0.5078 0.2285 (multiplicity 18)

Values from the calculation:
The calculation puts the uncorrected formation energy at -1.56 eV/atom. Its crystal system is trigonal.


# 17
SnB3H: optimized geometry, PBE.

abc: 4.578 4.578 4.578
angles: 90.00 90.00 90.00
Space group Pm-3m (No. 221)
Inequivalent atoms, fractional coordinates:
Sn 0.000 0.000 0.000 (multiplicity 1)
B 0.000 0.000 0.500 (multiplicity 3)
H 0.500 0.500 0.500 (multiplicity 1)

Values from the calculation:
As for the polymorph energy (0 for the lowest one): 4.133 eV per formula unit. Its crystal system is cubic.


# 18
AcLuHgRh: optimized geometry, PBE.

abc: 7.422 7.422 7.422
angles: 90.00 90.00 90.00
Space group F-43m (No. 216)
Inequivalent atoms, fractional coordinates:
Ac 0.000 0.000 0.000 (multiplicity 4)
Lu 0.000 0.000 0.500 (multiplicity 4)
Hg 0.250 0.250 0.250 (multiplicity 4)
Rh 0.250 0.250 0.750 (multiplicity 4)

Values from the calculation:
The electronic total energy comes out at -4.54 eV per atom. Its crystal system is cubic.


# 19
YHf2PF: optimized geometry, PBE.

abc: 4.389 4.389 4.798
angles: 90.00 90.00 90.00
Space group P4/mmm (No. 123)
Inequivalent atoms, fractional coordinates:
Y 0.000 0.000 0.000 (multiplicity 1)
Hf 0.000 0.500 0.500 (multiplicity 2)
P 0.500 0.500 0.000 (multiplicity 1)
F 0.000 0.000 0.500 (multiplicity 1)

Values from the calculation:
The calculation puts the uncorrected formation energy at -0.50 eV/atom. Its crystal system is tetragonal.


# 20
Rb2TlGeBr6: optimized geometry, PBE.

abc: 5.691 5.691 11.509
angles: 90.00 90.00 90.00
Space group P4/mmm (No. 123)
Inequivalent atoms, fractional coordinates:
Rb 0.000 0.000 0.233 (multiplicity 2)
Tl 0.500 0.500 0.500 (multiplicity 1)
Ge 0.500 0.500 0.000 (multiplicity 1)
Br 0.000 0.500 0.000 (multiplicity 2)
Br 0.000 0.500 0.500 (multiplicity 2)
Br 0.500 0.500 0.237 (multiplicity 2)

Values from the calculation:
The calculation puts the uncorrected formation energy at -1.05 eV/atom. As for the polymorph energy (0 for the lowest one): 0.129 eV per formula unit. Its crystal system is tetragonal.


# 21
AgRh: optimized geometry, PBE.

abc: 2.7846 2.7846 14.1677
angles: 90.00 90.00 120.00
Space group R-3m (No. 166, hexagonal axes)
Inequivalent atoms, fractional coordinates:
Ag 0.0000 0.0000 0.0000 (multiplicity 3)
Rh 0.0000 0.0000 0.5000 (multiplicity 3)

Values from the calculation:
The electronic total energy comes out at -4.84 eV per atom. Its crystal system is trigonal.


# 22
ScCuPb2: optimized geometry, PBE.

abc: 7.323 7.323 7.323
angles: 90.00 90.00 90.00
Space group F-43m (No. 216)
Inequivalent atoms, fractional coordinates:
Sc 0.000 0.000 0.000 (multiplicity 4)
Cu 0.250 0.250 0.750 (multiplicity 4)
Pb 0.000 0.000 0.500 (multiplicity 4)
Pb 0.250 0.250 0.250 (multiplicity 4)

Values from the calculation:
As for the polymorph energy (0 for the lowest one): 0.913 eV per formula unit. Its crystal system is cubic.


# 23
TaCd2Mo: optimized geometry, PBE.

abc: 6.652 6.652 6.652
angles: 90.00 90.00 90.00
Space group Fm-3m (No. 225)
Inequivalent atoms, fractional coordinates:
Ta 0.000 0.000 0.000 (multiplicity 4)
Cd 0.250 0.250 0.250 (multiplicity 8)
Mo 0.000 0.000 0.500 (multiplicity 4)

Values from the calculation:
As for the polymorph energy (0 for the lowest one): 2.212 eV per formula unit. Its crystal system is cubic.


# 24
HfIn6I12: optimized geometry, PBE.

abc: 14.9774 14.9774 13.2949
angles: 90.00 90.00 120.00
Space group R-3 (No. 148, hexagonal axes)
Inequivalent atoms, fractional coordinates:
Hf 0.0000 0.0000 0.0000 (multiplicity 3)
In 0.0065 0.2198 0.3660 (multiplicity 18)
I 0.0126 0.2246 0.6228 (multiplicity 18)
I 0.0171 0.1663 0.1206 (multiplicity 18)

Values from the calculation:
The calculation puts the uncorrected formation energy at -0.50 eV/atom. Its crystal system is trigonal.


What calculated volume values result from the calculations? In sequence: 25.75; 19.83; 6.50; 14.41; 30.93; 28.72; 15.99; 18.85; 16.40; 26.94; 13.59; 21.56; 17.31; 11.11; 30.83; 29.05; 19.19; 25.55; 18.48; 37.27; 15.86; 24.55; 18.40; 45.31 Å³ per atom.